Record 1
YHN2 | GGA-PBE | relaxed

Output
* excess energy over the best structure of this formula in the dataset: 296 meV/atom
* D(E_F): 0.0 states/eV/f.u.
* total magnetization: 0.00 μB per atom

Unit cell a=3.7873 b=3.7873 c=6.0759 alpha=71.84 beta=71.84 gamma=90.00
With the nearest neighbours (Å) after each atom.
Element x y z (fractional)
1 N 0.4136 0.1250 0.2500  2 H 1.67
2 N 0.8750 0.6636 0.7500  2 H 1.67
3 N 0.3364 0.6250 0.2500  2 H 1.67
4 Y 0.0000 0.0000 0.0000  8 N 2.41-2.63, 4 H 2.68
5 Y 0.7500 0.2500 0.5000  8 N 2.41-2.63, 4 H 2.68
6 N 0.3750 0.5864 0.7500  2 H 1.67
7 H 0.5000 0.5000 0.0000  4 N 1.67
8 H 0.2500 0.7500 0.5000  4 N 1.67


Record 2
YHN2 | GGA-PBE | relaxed

Output
* excess energy over the best structure of this formula in the dataset: 0 meV/atom
* D(E_F): 2.3 states/eV/f.u.
* total magnetization: 0.40 μB per atom

Unit cell a=5.0456 b=5.0456 c=5.0456 alpha=42.95 beta=42.95 gamma=42.95
With the nearest neighbours (Å) after each atom.
Element x y z (fractional)
1 N 0.0903 0.0903 0.0903  1 H 1.24
2 N 0.9097 0.9097 0.9097  1 H 1.24
3 H 0.0000 0.0000 0.0000  2 N 1.24
4 Y 0.5000 0.5000 0.5000  6 N 2.38


Record 3
YHN2 | GGA-PBE | relaxed

Output
* excess energy over the best structure of this formula in the dataset: 676 meV/atom
* D(E_F): 1.6 states/eV/f.u.
* total magnetization: 0.49 μB per atom

Unit cell a=4.0663 b=4.0663 c=4.0663 alpha=55.95 beta=55.95 gamma=55.95
With the nearest neighbours (Å) after each atom.
Element x y z (fractional)
1 H 0.5000 0.5000 0.5000  6 N 2.33
2 Y 0.0000 0.0000 0.0000  8 N 2.40-2.47
3 N 0.7596 0.7596 0.7596  3 H 2.33, 4 Y 2.40-2.47
4 N 0.2404 0.2404 0.2404  3 H 2.33, 4 Y 2.40-2.47


Record 4
Y4H2N | GGA-PBE | relaxed

Output
* E_tot: -6.383 eV/atom
* D(E_F): 4.8 states/eV/f.u.
* total magnetization: 0.00 μB per atom

Unit cell a=4.7989 b=4.7989 c=6.5379 alpha=68.47 beta=68.47 gamma=90.00
With the nearest neighbours (Å) after each atom.
Element x y z (fractional)
1 H 0.5837 0.5837 0.8326  1 H 1.87
2 N 0.0000 0.0000 0.0000  6 Y 2.40-2.45
3 H 0.4163 0.4163 0.1674  1 H 1.87
4 Y 0.0000 0.5000 0.0000  2 N 2.40, 4 H 2.58
5 Y 0.5000 0.0000 0.0000  2 N 2.40, 4 H 2.58
6 Y 0.2192 0.2192 0.5615  1 H 2.20, 1 N 2.45
7 Y 0.7808 0.7808 0.4385  1 H 2.20, 1 N 2.45


Among the records above, which one has the lowest D(E_F)?
number 1